# Pm2Pr2Ho2Er, relaxed, DFT PBE
# V (Å³/atom): 33.6
# DFT total energy (eV for the cell shown): -95.693
# E_form (eV/atom): 0.13
# Size of the total moment (μB/cell): 0.02
data_Pm2Pr2Ho2Er
_cell_length_a 5.7335
_cell_length_b 5.7335
_cell_length_c 24.7900
_cell_angle_alpha 90.00
_cell_angle_beta 90.00
_cell_angle_gamma 120.00
_space_group_name_H-M_alt 'R -3 m'
_space_group_IT_number 166
_space_group_name_Hall '-R 3 2"'
loop_
_atom_site_label
_atom_site_type_symbol
_atom_site_fract_x
_atom_site_fract_y
_atom_site_fract_z
Pm1 Pm 0.0000 0.0000 0.2136
Pr1 Pr 0.0000 0.0000 0.3618
Ho1 Ho 0.0000 0.0000 0.0714
Er1 Er 0.0000 0.0000 0.5000